(1)
The following is a DFT calculation (PBE) of Dy3Er6Sc2 after structural relaxation.

Crystal system: tetragonal
DFT formation energy: 0.302 eV/atom
VASP energy: -4.593 eV/atom

Lattice parameters (Å, degrees): 4.668 4.668 31.761 90.00 90.00 90.00
Space group I4/mmm (No. 139)
Inequivalent atoms, fractional coordinates:
Dy  0.000  0.000  0.000 (multiplicity 2)
Dy  0.000  0.000  0.199 (multiplicity 4)
Er  0.000  0.000  0.307 (multiplicity 4)
Er  0.000  0.500  0.116 (multiplicity 8)
Sc  0.000  0.000  0.456 (multiplicity 4)



(2)
The following is a DFT calculation (PBE) of Dy2ErSc3Se6 after structural relaxation.

Crystal system: monoclinic
VASP energy: -6.130 eV/atom
Energy relative to the elements, uncorrected: -1.6577 eV/atom

Lattice parameters (Å, degrees): 17.291 3.962 7.965 90.00 103.27 90.00
Space group C2/m (No. 12)
Inequivalent atoms, fractional coordinates:
Dy  0.168  0.000  0.334 (multiplicity 4)
Er  0.000  0.500  0.000 (multiplicity 2)
Sc  0.000  0.500  0.500 (multiplicity 2)
Sc  0.168  0.000  0.832 (multiplicity 4)
Se  0.004  0.000  0.744 (multiplicity 4)
Se  0.163  0.500  0.591 (multiplicity 4)
Se  0.169  0.500  0.074 (multiplicity 4)



Question: Which of these has the lowest VASP energy?
Answer: Dy2ErSc3Se6